Here is LaBeRe2 after structural relaxation from the Alexandria database. Energies are from PBEsol.

a = 2.9747 Å, b = 4.8282 Å, c = 4.8876 Å
α = 101.51°, β = 90.00°, γ = 107.94°
Last column: nearest neighbours and their distance in Å.
Fractional coordinates of all 4 atoms:
1 Re 0.7861 0.5722 0.8079  2 Be 2.49, 2 Re 2.59, 1 La 2.71
2 Re 0.2139 0.4278 0.1921  2 Be 2.49, 2 Re 2.59, 1 La 2.71
3 Be 0.5000 0.0000 0.0000  4 Re 2.49
4 La 0.0000 0.0000 0.5000  2 Re 2.71, 4 Be 2.86, 2 La 2.97

Summary:
Spin magnetization in μB per formula unit: 0.0
SG: C2/m
Energy of formation from the pure elements in kJ/mol of atoms: 45.7



Here is FeHg2Ir after structural relaxation from the Alexandria database. Energies are from PBEsol.

a = 2.9796 Å, b = 4.8190 Å, c = 4.8190 Å
α = 108.66°, β = 90.00°, γ = 90.00°
Last column: nearest neighbours and their distance in Å.
Fractional coordinates of all 4 atoms:
1 Fe 0.5000 0.5000 0.5000  2 Ir 2.81, 8 Hg 2.83, 2 Fe 2.98
2 Hg 0.0000 0.5000 0.0000  4 Hg 2.81-2.98, 4 Fe 2.83, 4 Ir 2.83
3 Hg 0.0000 0.0000 0.5000  4 Hg 2.81-2.98, 4 Ir 2.83, 4 Fe 2.83
4 Ir 0.5000 0.0000 0.0000  2 Fe 2.81, 8 Hg 2.83, 2 Ir 2.98

Summary:
Spin magnetization in μB per formula unit: 3.0
Energy above the most stable polymorph in this dataset in meV/atom: 252
SG: Cmmm
Energy of formation from the pure elements in kJ/mol of atoms: 48.4



Here is Na4Al3Si3BH4O12 after structural relaxation from the Alexandria database. Energies are from PBEsol.

a = 8.8821 Å, b = 8.8821 Å, c = 8.8821 Å
α = 90.00°, β = 90.00°, γ = 90.00°
Last column: nearest neighbours and their distance in Å.
Fractional coordinates of all 54 atoms:
1 Na 0.8253 0.8253 0.1747  3 O 2.33, 3 H 2.56
2 Na 0.8253 0.1747 0.8253  3 O 2.33, 3 H 2.56
3 Na 0.1747 0.8253 0.8253  3 O 2.33, 3 H 2.56
4 Na 0.1747 0.1747 0.1747  3 O 2.33, 3 H 2.56
5 Na 0.3253 0.3253 0.6747  3 O 2.33, 3 H 2.56
6 Na 0.3253 0.6747 0.3253  3 O 2.33, 3 H 2.56
7 Na 0.6747 0.3253 0.3253  3 O 2.33, 3 H 2.56
8 Na 0.6747 0.6747 0.6747  3 O 2.33, 3 H 2.56
9 Al 0.7500 0.0000 0.5000  4 O 1.75
10 Al 0.0000 0.5000 0.7500  4 O 1.75
11 Al 0.2500 0.0000 0.5000  4 O 1.75
12 Al 0.5000 0.7500 0.0000  4 O 1.75
13 Al 0.5000 0.2500 0.0000  4 O 1.75
14 Al 0.0000 0.5000 0.2500  4 O 1.75
15 Si 0.7500 0.5000 0.0000  4 O 1.63
16 Si 0.0000 0.7500 0.5000  4 O 1.63
17 Si 0.2500 0.5000 0.0000  4 O 1.63
18 Si 0.5000 0.0000 0.7500  4 O 1.63
19 Si 0.5000 0.0000 0.2500  4 O 1.63
20 Si 0.0000 0.2500 0.5000  4 O 1.63
21 B 0.0000 0.0000 0.0000  4 H 1.23
22 B 0.5000 0.5000 0.5000  4 H 1.23
23 H 0.5802 0.5802 0.4198  1 B 1.23
24 H 0.5802 0.4198 0.5802  1 B 1.23
25 H 0.0802 0.0802 0.9198  1 B 1.23
26 H 0.0802 0.9198 0.0802  1 B 1.23
27 H 0.4198 0.5802 0.5802  1 B 1.23
28 H 0.4198 0.4198 0.4198  1 B 1.23
29 H 0.9198 0.9198 0.9198  1 B 1.23
30 H 0.9198 0.0802 0.0802  1 B 1.23
31 O 0.5663 0.8615 0.1486  1 Si 1.63, 1 Al 1.75
32 O 0.5663 0.1385 0.8514  1 Si 1.63, 1 Al 1.75
33 O 0.8514 0.5663 0.1385  1 Si 1.63, 1 Al 1.75
34 O 0.8514 0.4337 0.8615  1 Si 1.63, 1 Al 1.75
35 O 0.8615 0.1486 0.5663  1 Si 1.63, 1 Al 1.75
36 O 0.8615 0.8514 0.4337  1 Si 1.63, 1 Al 1.75
37 O 0.0663 0.3514 0.6385  1 Si 1.63, 1 Al 1.75
38 O 0.0663 0.6486 0.3615  1 Si 1.63, 1 Al 1.75
39 O 0.1385 0.8514 0.5663  1 Si 1.63, 1 Al 1.75
40 O 0.1385 0.1486 0.4337  1 Si 1.63, 1 Al 1.75
41 O 0.1486 0.5663 0.8615  1 Si 1.63, 1 Al 1.75
42 O 0.1486 0.4337 0.1385  1 Si 1.63, 1 Al 1.75
43 O 0.3514 0.3615 0.9337  1 Si 1.63, 1 Al 1.75
44 O 0.3514 0.6385 0.0663  1 Si 1.63, 1 Al 1.75
45 O 0.3615 0.0663 0.6486  1 Si 1.63, 1 Al 1.75
46 O 0.3615 0.9337 0.3514  1 Si 1.63, 1 Al 1.75
47 O 0.4337 0.8615 0.8514  1 Si 1.63, 1 Al 1.75
48 O 0.4337 0.1385 0.1486  1 Si 1.63, 1 Al 1.75
49 O 0.6385 0.0663 0.3514  1 Si 1.63, 1 Al 1.75
50 O 0.6385 0.9337 0.6486  1 Si 1.63, 1 Al 1.75
51 O 0.6486 0.3615 0.0663  1 Si 1.63, 1 Al 1.75
52 O 0.6486 0.6385 0.9337  1 Si 1.63, 1 Al 1.75
53 O 0.9337 0.3514 0.3615  1 Si 1.63, 1 Al 1.75
54 O 0.9337 0.6486 0.6385  1 Si 1.63, 1 Al 1.75

Summary:
Spin magnetization in μB per formula unit: 0.0
Total energy in eV per atom: -6.612
SG: P-43n



Here is KReSe2 after structural relaxation from the Alexandria database. Energies are from PBEsol.

a = 6.5383 Å, b = 6.5383 Å, c = 6.5383 Å
α = 72.48°, β = 69.55°, γ = 110.45°
Last column: nearest neighbours and their distance in Å.
Fractional coordinates of all 8 atoms:
1 Re 0.0000 0.0000 0.0000  4 Se 2.38
2 Re 0.5000 0.2500 0.2500  4 Se 2.38
3 K 0.0000 0.5000 0.5000  8 Se 3.36-3.62
4 K 0.5000 0.7500 0.7500  8 Se 3.36-3.62
5 Se 0.1010 0.1250 0.2740  2 Re 2.38
6 Se 0.8990 0.6250 0.9760  2 Re 2.38
7 Se 0.3990 0.2740 0.6250  2 Re 2.38
8 Se 0.6010 0.9760 0.1250  2 Re 2.38

Summary:
Spin magnetization in μB per formula unit: 0.0
Energy above the most stable polymorph in this dataset in meV/atom: 0
SG: I-42d
Uncorrected formation energy in eV per atom: -0.161



Here is Zr2MnMo after structural relaxation from the Alexandria database. Energies are from PBEsol.

a = 2.9357 Å, b = 5.1539 Å, c = 5.1539 Å
α = 111.93°, β = 102.15°, γ = 102.15°
Last column: nearest neighbours and their distance in Å.
Fractional coordinates of all 4 atoms:
1 Mn 0.5000 0.0000 0.0000  4 Zr 2.68, 2 Mo 2.88, 2 Mn 2.94
2 Mo 0.5000 0.5000 0.5000  4 Zr 2.68, 2 Mn 2.88, 2 Mo 2.94
3 Zr 0.0000 0.5000 0.0000  2 Mo 2.68, 2 Mn 2.68, 4 Zr 2.88-2.94
4 Zr 0.0000 0.0000 0.5000  2 Mn 2.68, 2 Mo 2.68, 4 Zr 2.88-2.94

Summary:
Spin magnetization in μB per formula unit: 0.6
Energy above the most stable polymorph in this dataset in meV/atom: 174
SG: C2/m
Energy of formation from the pure elements in kJ/mol of atoms: 21.5



Here is YRe3Bi after structural relaxation from the Alexandria database. Energies are from PBEsol.

a = 4.8122 Å, b = 4.8122 Å, c = 4.8122 Å
α = 90.00°, β = 90.00°, γ = 90.00°
Last column: nearest neighbours and their distance in Å.
Fractional coordinates of all 5 atoms:
1 Y 0.0000 0.0000 0.0000  6 Re 2.41
2 Re 0.0000 0.5000 0.0000  2 Y 2.41
3 Re 0.0000 0.0000 0.5000  2 Y 2.41
4 Re 0.5000 0.0000 0.0000  2 Y 2.41
5 Bi 0.5000 0.5000 0.5000  12 Re 3.40

Summary:
Spin magnetization in μB per formula unit: 2.1
SG: Pm-3m
Energy of formation from the pure elements in kJ/mol of atoms: 279.1